Below is Fe2IrO6 after structural relaxation, with properties calculated at the PBE with a Hubbard U level.

POSCAR file:
```
Fe2IrO6
1.0
4.704 0.000 0.000
0.000 5.229 0.000
0.000 0.000 8.464
Fe Ir O
4 2 12
Direct
0.000 0.000 0.190
0.000 0.000 0.810
0.500 0.500 0.310
0.500 0.500 0.690
0.000 0.500 0.000
0.500 0.000 0.500
0.197 0.172 0.000
0.228 0.661 0.164
0.228 0.661 0.836
0.272 0.161 0.336
0.272 0.161 0.664
0.303 0.672 0.500
0.697 0.328 0.500
0.728 0.839 0.336
0.728 0.839 0.664
0.772 0.339 0.164
0.772 0.339 0.836
0.803 0.828 0.000
```

E_tot in eV per atom: -6.563
Fermi-level density of states in states/eV/f.u.: 3.70